1.
# Sr2AcPt PBE optimized geometry
data_Sr2AcPt
_chemical_formula_sum 'Sr2 Ac1 Pt1'
_space_group_name_H-M_alt 'P 4/m m m'
_space_group_IT_number 123
_space_group_name_Hall '-P 4 2'
_cell_length_a 3.815
_cell_length_b 3.815
_cell_length_c 9.966
_cell_angle_alpha 90.00
_cell_angle_beta 90.00
_cell_angle_gamma 90.00
loop_
_atom_site_label
_atom_site_fract_x
_atom_site_fract_y
_atom_site_fract_z
Sr1 0.000 0.000 0.174
Ac1 0.500 0.500 0.500
Pt1 0.500 0.500 0.000
# * polymorph energy (0 for the lowest one): 1.03 eV/f.u.
# * volume: 145.0 Å³/cell
# * formation enthalpy at 0 K: -0.3567 eV per atom
# * E: -3.73 eV per atom

---

2.
# SrAc8Pt4 PBE optimized geometry
data_SrAc8Pt4
_chemical_formula_sum 'Sr2 Ac16 Pt8'
_space_group_name_H-M_alt 'C 1 2/m 1'
_space_group_IT_number 12
_space_group_name_Hall '-C 2y'
_cell_length_a 21.644
_cell_length_b 4.435
_cell_length_c 14.573
_cell_angle_alpha 90.00
_cell_angle_beta 130.87
_cell_angle_gamma 90.00
loop_
_atom_site_label
_atom_site_fract_x
_atom_site_fract_y
_atom_site_fract_z
Sr1 0.000 0.000 0.000
Ac1 0.042 0.000 0.744
Ac2 0.129 0.500 0.586
Ac3 0.168 0.500 0.343
Ac4 0.209 0.500 0.075
Pt1 0.145 0.000 0.461
Pt2 0.165 0.500 0.829
# * volume: 1057.8 Å³/cell
# * formation enthalpy at 0 K: -0.7355 eV per atom
# * E: -5.25 eV per atom

---

3.
# SrAc3Pt PBE optimized geometry
data_SrAc3Pt
_chemical_formula_sum 'Sr1 Ac3 Pt1'
_space_group_name_H-M_alt 'P m -3 m'
_space_group_IT_number 221
_space_group_name_Hall '-P 4 2 3'
_cell_length_a 6.066
_cell_length_b 6.066
_cell_length_c 6.066
_cell_angle_alpha 90.00
_cell_angle_beta 90.00
_cell_angle_gamma 90.00
loop_
_atom_site_label
_atom_site_fract_x
_atom_site_fract_y
_atom_site_fract_z
Sr1 0.000 0.000 0.000
Ac1 0.000 0.500 0.500
Pt1 0.500 0.500 0.500
# * polymorph energy (0 for the lowest one): 0.12 eV/f.u.
# * volume: 223.2 Å³/cell
# * formation enthalpy at 0 K: -0.4041 eV per atom
# * E: -4.41 eV per atom

---

4.
# SrAcPt PBE optimized geometry
data_SrAcPt
_chemical_formula_sum 'Sr1 Ac1 Pt1'
_space_group_name_H-M_alt 'P 3 m 1'
_space_group_IT_number 156
_space_group_name_Hall 'P 3 -2"'
_cell_length_a 4.4296
_cell_length_b 4.4296
_cell_length_c 7.1087
_cell_angle_alpha 90.00
_cell_angle_beta 90.00
_cell_angle_gamma 120.00
loop_
_atom_site_label
_atom_site_fract_x
_atom_site_fract_y
_atom_site_fract_z
Sr1 0.0000 0.0000 0.0000
Ac1 0.6667 0.3333 0.4586
Pt1 0.3333 0.6667 0.2463
# * polymorph energy (0 for the lowest one): 0.00 eV/f.u.
# * volume: 120.8 Å³/cell
# * formation enthalpy at 0 K: -0.7501 eV per atom
# * E: -4.69 eV per atom